[1]
Computed, not measured: a relaxed structure of AlFeCuOs at the PBE level of DFT.

Calculated values
Mass density ... 10.8 Mg/m³
Size of the total moment ... 2.8 μB/f.u.
Electronic total energy ... -26.75 eV per cell
Space-group type ... F-43m

abc: 4.180 4.180 4.180
angles: 60.00 60.00 60.00
Fractional positions:
Os1 0.250 0.250 0.250
Cu1 0.500 0.500 0.500
Al1 0.000 0.000 0.000
Fe1 0.750 0.750 0.750

[2]
Computed, not measured: a relaxed structure of FeS3N2Cl5 at the PBE level of DFT.

Calculated values
Mass density ... 2.1 Mg/m³
Size of the total moment ... 5.0 μB/f.u.
Electronic total energy ... -194.42 eV per cell
Space-group type ... P2_1/c

abc: 9.326 10.732 14.470
angles: 90.00 128.44 90.00
Last column: magnetic moment on the atom in μB.
Fractional positions:
S1 0.824 0.972 0.309  0.00
Cl1 0.608 0.488 0.259  0.17
Cl2 0.063 0.645 0.422  0.00
S2 0.168 0.234 0.111  0.00
S3 0.168 0.266 0.611  0.00
Cl3 0.531 0.293 0.597  0.20
S4 0.832 0.766 0.889  0.00
Cl4 0.985 0.207 0.839  0.21
N1 0.700 0.605 0.693  0.01
S5 0.350 0.253 0.309  0.00
S6 0.650 0.747 0.691  0.00
Cl5 0.392 0.988 0.241  0.17
N2 0.300 0.105 0.807  0.01
Cl6 0.531 0.207 0.097  0.20
Fe1 0.284 0.866 0.310  3.74
N3 0.873 0.622 0.913  0.00
Cl7 0.985 0.293 0.339  0.21
Cl8 0.250 0.975 0.423  0.20
Cl9 0.469 0.793 0.903  0.20
Cl10 0.250 0.525 0.923  0.20
N4 0.700 0.895 0.193  0.01
Fe2 0.284 0.634 0.810  3.74
Cl11 0.063 0.855 0.922  0.00
S7 0.650 0.753 0.191  0.00
S8 0.824 0.528 0.809  0.00
Fe3 0.716 0.134 0.690  3.74
S9 0.176 0.472 0.191  0.00
Fe4 0.716 0.366 0.190  3.74
Cl12 0.392 0.512 0.741  0.17
Cl13 0.750 0.475 0.077  0.20
N5 0.873 0.878 0.413  0.00
S10 0.832 0.734 0.389  0.00
Cl14 0.469 0.707 0.403  0.20
Cl15 0.750 0.025 0.577  0.20
N6 0.127 0.378 0.087  0.00
S11 0.350 0.247 0.809  0.00
Cl16 0.015 0.707 0.661  0.21
N7 0.300 0.395 0.307  0.01
S12 0.176 0.028 0.691  0.00
Cl17 0.937 0.355 0.578  0.00
Cl18 0.015 0.793 0.161  0.21
N8 0.127 0.122 0.587  0.00
Cl19 0.937 0.145 0.078  0.00
Cl20 0.608 0.012 0.759  0.17

[3]
Computed, not measured: a relaxed structure of CuTe2W at the PBE level of DFT.

Calculated values
Mass density ... 10.4 Mg/m³
Size of the total moment ... 0.0 μB/f.u.
Electronic total energy ... -18.40 eV per cell
Space-group type ... F-43m

abc: 4.835 4.835 4.835
angles: 60.00 60.00 60.00
Fractional positions:
Cu1 0.250 0.250 0.250
W1 0.500 0.500 0.500
Te1 0.000 0.000 0.000
Te2 0.750 0.750 0.750

[4]
Computed, not measured: a relaxed structure of HoCdInTe3 at the PBE level of DFT.

Calculated values
Mass density ... 6.6 Mg/m³
Size of the total moment ... 0.0 μB/f.u.
Electronic total energy ... -87.21 eV per cell
Space-group type ... Pnma

abc: 13.090 4.521 13.265
angles: 90.00 90.00 90.00
Fractional positions:
Ho1 0.970 0.500 0.323
Cd1 0.256 0.000 0.303
In1 0.833 0.500 0.004
Te1 0.913 0.500 0.565
Te2 0.029 0.500 0.844
Te3 0.763 0.000 0.830
Ho2 0.530 0.000 0.823
Te4 0.237 0.500 0.170
Te5 0.529 0.500 0.656
Te6 0.087 0.000 0.435
Cd2 0.244 0.500 0.803
Ho3 0.030 0.000 0.677
Te7 0.263 0.000 0.670
Ho4 0.470 0.500 0.177
In2 0.333 0.500 0.496
Te8 0.971 0.000 0.156
Te9 0.587 0.000 0.065
Cd3 0.744 0.500 0.697
Cd4 0.756 0.000 0.197
Te10 0.471 0.000 0.344
Te11 0.737 0.500 0.330
In3 0.167 0.000 0.996
Te12 0.413 0.500 0.935
In4 0.667 0.000 0.504

> Which of these has the lowest mass density?

FeS3N2Cl5